1.
Computed, not measured: crystalline Mg2GaSb at its relaxed geometry at the GGA-PBE level of DFT.

Raw formation energy = -162 meV/atom
Distance to the lowest polymorph of the same formula = 0 meV per atom
E_tot = -0.1009 Ha/atom
Total magnetization = 0.0 μB per formula unit

Unit cell a=4.562 b=4.562 c=4.264 alpha=90.00 beta=90.00 gamma=90.00
Space group P4/mmm (No. 123)
Asymmetric unit:
1 Mg 0.000 0.500 0.000 (multiplicity 2)
2 Ga 0.000 0.000 0.500 (multiplicity 1)
3 Sb 0.500 0.500 0.500 (multiplicity 1)

2.
Computed, not measured: crystalline Nd3Mg2 at its relaxed geometry at the GGA-PBE level of DFT.

ΔE_f = 21 meV/atom
Distance to the lowest polymorph of the same formula = 101 meV per atom
E_tot = -0.1278 Ha/atom
Total magnetization = 0.0 μB per formula unit

Unit cell a=9.431 b=9.431 c=7.034 alpha=90.00 beta=90.00 gamma=90.00
Space group P4_2/mnm (No. 136)
Asymmetric unit:
1 Nd 0.000 0.500 0.250 (multiplicity 4)
2 Nd 0.175 0.175 0.000 (multiplicity 4)
3 Nd 0.176 0.176 0.500 (multiplicity 4)
4 Mg 0.119 0.881 0.252 (multiplicity 8)

3.
Computed, not measured: crystalline NiP at its relaxed geometry at the GGA-PBE level of DFT.

ΔE_f = -224 meV/atom
E_tot = -0.2139 Ha/atom
Total magnetization = 0.0 μB per formula unit

Unit cell a=6.732 b=6.732 c=2.762 alpha=90.00 beta=90.00 gamma=90.00
Space group P4_2/mnm (No. 136)
Asymmetric unit:
1 Ni 0.131 0.131 0.000 (multiplicity 4)
2 P 0.194 0.806 0.000 (multiplicity 4)

4.
Computed, not measured: crystalline NdTlAg2 at its relaxed geometry at the GGA-PBE level of DFT.

ΔE_f = -244 meV/atom
Distance to the lowest polymorph of the same formula = 0 meV per atom
E_tot = -0.1269 Ha/atom
Total magnetization = 0.0 μB per formula unit

Unit cell a=7.198 b=7.198 c=7.198 alpha=90.00 beta=90.00 gamma=90.00
Space group Fm-3m (No. 225)
Asymmetric unit:
1 Nd 0.000 0.000 0.000 (multiplicity 4)
2 Tl 0.000 0.000 0.500 (multiplicity 4)
3 Ag 0.250 0.250 0.250 (multiplicity 8)

5.
Computed, not measured: crystalline BiAuN2 at its relaxed geometry at the GGA-PBE level of DFT.

Raw formation energy = 1214 meV/atom
E_tot = -0.1741 Ha/atom
Total magnetization = 0.0 μB per formula unit

Unit cell a=3.3355 b=3.3355 c=20.4968 alpha=90.00 beta=90.00 gamma=120.00
Space group R-3m (No. 166, hexagonal axes)
Asymmetric unit:
1 Bi 0.0000 0.0000 0.0000 (multiplicity 3)
2 Au 0.0000 0.0000 0.5000 (multiplicity 3)
3 N 0.0000 0.0000 0.1189 (multiplicity 6)

6.
Computed, not measured: crystalline AcTb3Sm4Se8 at its relaxed geometry at the GGA-PBE level of DFT.

Raw formation energy = -1783 meV/atom
E_tot = -0.2143 Ha/atom
Total magnetization = 0.0 μB per formula unit

Unit cell a=8.3776 b=8.3776 c=20.4891 alpha=90.00 beta=90.00 gamma=120.00
Space group R-3m (No. 166, hexagonal axes)
Asymmetric unit:
1 Ac 0.0000 0.0000 0.0000 (multiplicity 3)
2 Tb 0.0000 0.5000 0.0000 (multiplicity 9)
3 Sm 0.0000 0.0000 0.5000 (multiplicity 3)
4 Sm 0.0000 0.5000 0.5000 (multiplicity 9)
5 Se 0.0000 0.0000 0.2525 (multiplicity 6)
6 Se 0.0121 0.5061 0.2497 (multiplicity 18)

7.
Computed, not measured: crystalline Pr2AlZn3Ni12 at its relaxed geometry at the GGA-PBE level of DFT.

ΔE_f = 53 meV/atom
E_tot = -0.1746 Ha/atom
Total magnetization = 0.0 μB per formula unit

Unit cell a=6.0573 b=6.0573 c=25.8782 alpha=90.00 beta=90.00 gamma=120.00
Space group R-3m (No. 166, hexagonal axes)
Asymmetric unit:
1 Pr 0.0000 0.0000 0.1537 (multiplicity 6)
2 Al 0.0000 0.0000 0.5000 (multiplicity 3)
3 Zn 0.0000 0.5000 0.0000 (multiplicity 9)
4 Ni 0.0557 0.5278 0.0954 (multiplicity 18)
5 Ni 0.0739 0.5369 0.6156 (multiplicity 18)

8.
Computed, not measured: crystalline TaCN3 at its relaxed geometry at the GGA-PBE level of DFT.

Raw formation energy = 1420 meV/atom
E_tot = -0.2863 Ha/atom
Total magnetization = 0.0 μB per formula unit

Unit cell a=3.367 b=3.367 c=3.367 alpha=90.00 beta=90.00 gamma=90.00
Space group Pm-3m (No. 221)
Asymmetric unit:
1 Ta 0.000 0.000 0.000 (multiplicity 1)
2 C 0.500 0.500 0.500 (multiplicity 1)
3 N 0.000 0.500 0.500 (multiplicity 3)

9.
Computed, not measured: crystalline K2SrCa at its relaxed geometry at the GGA-PBE level of DFT.

ΔE_f = 165 meV/atom
E_tot = -0.0479 Ha/atom
Total magnetization = 0.0 μB per formula unit

Unit cell a=5.787 b=5.787 c=6.861 alpha=90.00 beta=90.00 gamma=90.00
Space group P4/mmm (No. 123)
Asymmetric unit:
1 K 0.000 0.500 0.000 (multiplicity 2)
2 Sr 0.000 0.000 0.500 (multiplicity 1)
3 Ca 0.500 0.500 0.500 (multiplicity 1)

10.
Computed, not measured: crystalline Y5Au at its relaxed geometry at the GGA-PBE level of DFT.

ΔE_f = 550 meV/atom
Distance to the lowest polymorph of the same formula = 808 meV per atom
E_tot = -0.1978 Ha/atom
Total magnetization = 0.0 μB per formula unit

Unit cell a=6.2507 b=6.2507 c=5.8369 alpha=90.00 beta=90.00 gamma=120.00
Space group P6/mmm (No. 191)
Asymmetric unit:
1 Y 0.0000 0.5000 0.0000 (multiplicity 3)
2 Y 0.3333 0.6667 0.5000 (multiplicity 2)
3 Au 0.0000 0.0000 0.5000 (multiplicity 1)

11.
Computed, not measured: crystalline PrMg9Au2 at its relaxed geometry at the GGA-PBE level of DFT.

ΔE_f = -298 meV/atom
E_tot = -0.0896 Ha/atom
Total magnetization = 0.0 μB per formula unit

Unit cell a=11.889 b=11.889 c=7.553 alpha=90.00 beta=90.00 gamma=90.00
Space group I4_1/amd (No. 141, origin choice 2)
Asymmetric unit:
1 Pr 0.000 0.250 0.375 (multiplicity 4)
2 Mg 0.000 0.250 0.875 (multiplicity 4)
3 Mg 0.122 0.051 0.684 (multiplicity 32)
4 Au 0.000 0.000 0.000 (multiplicity 8)

12.
Computed, not measured: crystalline K3AsI at its relaxed geometry at the GGA-PBE level of DFT.

Raw formation energy = -588 meV/atom
Distance to the lowest polymorph of the same formula = 0 meV per atom
E_tot = -0.0914 Ha/atom
Total magnetization = 1.0 μB per formula unit

Unit cell a=6.317 b=6.317 c=6.317 alpha=90.00 beta=90.00 gamma=90.00
Space group Pm-3m (No. 221)
Asymmetric unit:
1 K 0.000 0.000 0.500 (multiplicity 3)
2 As 0.000 0.000 0.000 (multiplicity 1)
3 I 0.500 0.500 0.500 (multiplicity 1)